No. 1
DFT (PBE-GGA) results for a relaxed Ac3Zn2HgPd9 crystal.

Properties
- E: -4.523 eV/atom
- Volume: 342.0 Å³/f.u.
- Space-group type: P-3m1 (164)
- Fermi-level density of states: 0.353 states/eV/atom

The structure in CIF format:
```
data_Ac3Zn2HgPd9
_symmetry_space_group_name_H-M 'P 1'
_symmetry_Int_Tables_number 1
_cell_length_a 7.567
_cell_length_b 7.567
_cell_length_c 6.897
_cell_angle_alpha 90.00
_cell_angle_beta 90.00
_cell_angle_gamma 120.00
loop_
_symmetry_equiv_pos_as_xyz
'x,y,z'
loop_
_atom_site_label
_atom_site_type_symbol
_atom_site_fract_x
_atom_site_fract_y
_atom_site_fract_z
Ac1 Ac 0.000 0.000 0.000
Ac2 Ac 0.333 0.667 0.662
Ac3 Ac 0.667 0.333 0.338
Zn1 Zn 0.333 0.667 0.143
Zn2 Zn 0.667 0.333 0.857
Hg1 Hg 0.000 0.000 0.500
Pd1 Pd 0.000 0.500 0.000
Pd2 Pd 0.178 0.355 0.326
Pd3 Pd 0.178 0.822 0.326
Pd4 Pd 0.355 0.178 0.674
Pd5 Pd 0.500 0.000 0.000
Pd6 Pd 0.500 0.500 0.000
Pd7 Pd 0.645 0.822 0.326
Pd8 Pd 0.822 0.178 0.674
Pd9 Pd 0.822 0.645 0.674
```

No. 2
DFT (PBE-GGA) results for a relaxed AcZnHg2Pd2 crystal.

Properties
- E: -2.955 eV/atom
- Volume: 155.6 Å³/f.u.
- Space-group type: I4/mmm (139)
- Fermi-level density of states: 0.544 states/eV/atom

The structure in CIF format:
```
data_AcZnHg2Pd2
_symmetry_space_group_name_H-M 'P 1'
_symmetry_Int_Tables_number 1
_cell_length_a 6.559
_cell_length_b 6.559
_cell_length_c 6.559
_cell_angle_alpha 131.36
_cell_angle_beta 131.36
_cell_angle_gamma 71.25
loop_
_symmetry_equiv_pos_as_xyz
'x,y,z'
loop_
_atom_site_label
_atom_site_type_symbol
_atom_site_fract_x
_atom_site_fract_y
_atom_site_fract_z
Ac1 Ac 0.000 0.000 0.000
Zn1 Zn 0.500 0.500 0.000
Hg1 Hg 0.250 0.750 0.500
Hg2 Hg 0.750 0.250 0.500
Pd1 Pd 0.272 0.272 0.000
Pd2 Pd 0.728 0.728 0.000
```

No. 3
DFT (PBE-GGA) results for a relaxed Ac2Zn3HgPd4 crystal.

Properties
- E: -3.918 eV/atom
- Volume: 214.9 Å³/f.u.
- Space-group type: P-4m2 (115)
- Fermi-level density of states: 0.624 states/eV/atom

The structure in CIF format:
```
data_Ac2Zn3HgPd4
_symmetry_space_group_name_H-M 'P 1'
_symmetry_Int_Tables_number 1
_cell_length_a 4.437
_cell_length_b 4.437
_cell_length_c 10.920
_cell_angle_alpha 90.00
_cell_angle_beta 90.00
_cell_angle_gamma 90.00
loop_
_symmetry_equiv_pos_as_xyz
'x,y,z'
loop_
_atom_site_label
_atom_site_type_symbol
_atom_site_fract_x
_atom_site_fract_y
_atom_site_fract_z
Ac1 Ac 0.000 0.500 0.241
Ac2 Ac 0.500 0.000 0.759
Zn1 Zn 0.000 0.500 0.882
Zn2 Zn 0.500 0.000 0.118
Zn3 Zn 0.500 0.500 0.500
Hg1 Hg 0.000 0.000 0.500
Pd1 Pd 0.000 0.000 0.000
Pd2 Pd 0.000 0.500 0.652
Pd3 Pd 0.500 0.000 0.348
Pd4 Pd 0.500 0.500 0.000
```